# Ga5Mo3O12, relaxed, DFT PBE+U
# SG: Ia-3d
# VASP energy in eV/atom: -6.37
data_Ga5Mo3O12
_cell_length_a 10.499
_cell_length_b 10.499
_cell_length_c 10.499
_cell_angle_alpha 109.47
_cell_angle_beta 109.47
_cell_angle_gamma 109.47
_space_group_name_H-M_alt 'P 1'
_space_group_IT_number 1
loop_
_space_group_symop_operation_xyz
'x,y,z'
loop_
_atom_site_label
_atom_site_type_symbol
_atom_site_fract_x
_atom_site_fract_y
_atom_site_fract_z
Mo1 Mo 0.750 0.375 0.125
Mo2 Mo 0.875 0.750 0.125
Mo3 Mo 0.375 0.750 0.625
Mo4 Mo 0.250 0.125 0.375
Mo5 Mo 0.875 0.125 0.250
Mo6 Mo 0.375 0.625 0.250
Mo7 Mo 0.625 0.375 0.750
Mo8 Mo 0.125 0.875 0.750
Mo9 Mo 0.750 0.875 0.625
Mo10 Mo 0.625 0.250 0.375
Mo11 Mo 0.125 0.250 0.875
Mo12 Mo 0.250 0.625 0.875
Ga1 Ga 0.125 0.375 0.250
Ga2 Ga 0.000 0.500 0.000
Ga3 Ga 0.000 0.000 0.000
Ga4 Ga 0.375 0.250 0.125
Ga5 Ga 0.500 0.000 0.500
Ga6 Ga 0.500 0.500 0.000
Ga7 Ga 0.125 0.750 0.375
Ga8 Ga 0.750 0.125 0.875
Ga9 Ga 0.750 0.625 0.375
Ga10 Ga 0.375 0.125 0.750
Ga11 Ga 0.625 0.875 0.250
Ga12 Ga 0.500 0.500 0.500
Ga13 Ga 0.500 0.000 0.000
Ga14 Ga 0.000 0.000 0.500
Ga15 Ga 0.250 0.375 0.625
Ga16 Ga 0.250 0.875 0.125
Ga17 Ga 0.000 0.500 0.500
Ga18 Ga 0.875 0.250 0.625
Ga19 Ga 0.625 0.750 0.875
Ga20 Ga 0.875 0.625 0.750
O1 O 0.713 0.126 0.036
O2 O 0.323 0.536 0.410
O3 O 0.964 0.374 0.287
O4 O 0.536 0.213 0.126
O5 O 0.587 0.713 0.677
O6 O 0.964 0.590 0.177
O7 O 0.323 0.787 0.413
O8 O 0.090 0.913 0.126
O9 O 0.590 0.964 0.677
O10 O 0.713 0.587 0.177
O11 O 0.787 0.464 0.374
O12 O 0.823 0.910 0.036
O13 O 0.126 0.713 0.536
O14 O 0.374 0.410 0.087
O15 O 0.087 0.910 0.374
O16 O 0.413 0.126 0.590
O17 O 0.087 0.177 0.213
O18 O 0.464 0.677 0.090
O19 O 0.823 0.913 0.287
O20 O 0.126 0.413 0.090
O21 O 0.374 0.964 0.787
O22 O 0.590 0.626 0.413
O23 O 0.910 0.823 0.536
O24 O 0.787 0.323 0.913
O25 O 0.410 0.374 0.587
O26 O 0.090 0.177 0.464
O27 O 0.213 0.677 0.087
O28 O 0.177 0.087 0.713
O29 O 0.626 0.036 0.213
O30 O 0.874 0.587 0.910
O31 O 0.536 0.323 0.910
O32 O 0.587 0.874 0.410
O33 O 0.913 0.823 0.787
O34 O 0.913 0.090 0.626
O35 O 0.874 0.287 0.464
O36 O 0.177 0.090 0.964
O37 O 0.626 0.590 0.913
O38 O 0.410 0.036 0.323
O39 O 0.287 0.413 0.823
O40 O 0.213 0.536 0.626
O41 O 0.910 0.087 0.874
O42 O 0.677 0.213 0.587
O43 O 0.464 0.787 0.874
O44 O 0.036 0.410 0.823
O45 O 0.413 0.287 0.323
O46 O 0.036 0.626 0.713
O47 O 0.677 0.464 0.590
O48 O 0.287 0.874 0.964